YScSe3 | the Alexandria database | PBE | optimized geometry; density of states at the Fermi level = 0.00 states/eV/f.u.; total energy = -29.06 eV per cell; energy relative to the elements, uncorrected = -1.16 eV per atom
1.0
-2.5949 4.3460 0.5329
-4.3778 -2.5637 -0.4098
-0.0815 -0.6673 5.0451
Sc Se Y
1 3 1
Direct
0.0000 0.0000 0.0000
0.0000 0.5000 0.0000
0.5000 0.0000 0.0000
0.0000 0.0000 0.5000
0.5000 0.5000 0.5000